Entry from Alexandria via LeMat-Bulk: a relaxed structure of CsCoAg2Cl6 (PBE-GGA).

Computed properties:
Its space-group type is C2/c.

a b c (Å): 9.3339 9.3339 8.4996
angles (deg): 110.23 110.23 86.00
Closest atoms and distances in Å follow each position.
Fractional coordinates of all 20 atoms:
Cs  0.1731  0.8269  0.7500  8 Cl 3.50-3.71
Cs  0.8269  0.1731  0.2500  8 Cl 3.50-3.71
Co  0.1870  0.8129  0.2500  4 Cl 2.19-2.20
Co  0.8129  0.1870  0.7500  4 Cl 2.19-2.20
Ag  0.3141  0.3640  0.8243  2 Cl 2.46
Ag  0.3640  0.3141  0.3243  2 Cl 2.46
Ag  0.6360  0.6859  0.6757  2 Cl 2.46
Ag  0.6859  0.6360  0.1757  2 Cl 2.46
Cl  0.0234  0.1903  0.6903  1 Co 2.20
Cl  0.1780  0.6101  0.0194  1 Co 2.19
Cl  0.1903  0.0234  0.1903  1 Co 2.20
Cl  0.2475  0.4328  0.5541  2 Ag 2.46
Cl  0.3899  0.8220  0.4806  1 Co 2.19
Cl  0.4328  0.2475  0.0541  2 Ag 2.46
Cl  0.5672  0.7525  0.9459  2 Ag 2.46
Cl  0.6101  0.1780  0.5194  1 Co 2.19
Cl  0.7525  0.5672  0.4459  2 Ag 2.46
Cl  0.8097  0.9766  0.8097  1 Co 2.20
Cl  0.8220  0.3899  0.9806  1 Co 2.19
Cl  0.9766  0.8097  0.3097  1 Co 2.20

=====

Entry from Alexandria via LeMat-Bulk: a relaxed structure of TiBTeW2 (PBE-GGA).

Computed properties:
Its space-group type is P4/mmm.

a b c (Å): 4.8865 4.8865 4.8798
angles (deg): 90.00 90.00 90.00
Closest atoms and distances in Å follow each position.
Fractional coordinates of all 5 atoms:
Ti  0.0000  0.0000  0.0000  2 Te 2.44
B  0.5000  0.5000  0.0000  8 W 3.45, 4 Ti 3.46
Te  0.0000  0.0000  0.5000  2 Ti 2.44, 4 W 2.44
W  0.0000  0.5000  0.5000  2 Te 2.44
W  0.5000  0.0000  0.5000  2 Te 2.44

=====

Number 1: raw formation energy -800 meV/atom, D(E_F) 0.70 states/eV/atom, total energy -3.274 eV/atom. Number 2: raw formation energy 2848 meV/atom, D(E_F) 1.62 states/eV/atom, total energy -5.876 eV/atom.